# Tl6In2Hg2Bi | the Alexandria database | PBE | relaxed
data_Tl6In2Hg2Bi
_chemical_formula_sum 'Tl6 In2 Hg2 Bi1'
_cell_length_a 6.489
_cell_length_b 6.540
_cell_length_c 8.613
_cell_angle_alpha 75.42
_cell_angle_beta 70.03
_cell_angle_gamma 87.05
_symmetry_space_group_name_H-M 'P -1'
_symmetry_Int_Tables_number 2
_symmetry_space_group_name_Hall '-P 1'
loop_
_atom_site_label
_atom_site_type_symbol
_atom_site_fract_x
_atom_site_fract_y
_atom_site_fract_z
_atom_site_occupancy
Tl1 Tl 0.112 0.378 0.339 1
Tl2 Tl 0.154 0.263 0.915 1
Tl3 Tl 0.292 0.890 0.239 1
In1 In 0.256 0.974 0.626 1
Hg1 Hg 0.382 0.685 0.913 1
Bi1 Bi 0.500 0.500 0.500 1
# Energy of formation ... 0.05 eV/f.u.
# Crystal system ... triclinic

# LiYGaAu | the Alexandria database | PBE | relaxed
data_LiYGaAu
_chemical_formula_sum 'Li4 Y4 Ga4 Au4'
_cell_length_a 6.838
_cell_length_b 6.838
_cell_length_c 6.838
_cell_angle_alpha 90.00
_cell_angle_beta 90.00
_cell_angle_gamma 90.00
_symmetry_space_group_name_H-M 'F -4 3 m'
_symmetry_Int_Tables_number 216
_symmetry_space_group_name_Hall 'F -4 2 3'
loop_
_atom_site_label
_atom_site_type_symbol
_atom_site_fract_x
_atom_site_fract_y
_atom_site_fract_z
_atom_site_occupancy
Li1 Li 0.000 0.000 0.000 1
Y1 Y 0.000 0.000 0.500 1
Ga1 Ga 0.250 0.250 0.750 1
Au1 Au 0.250 0.250 0.250 1
# Relative energy among the computed polymorphs ... 0.030 eV/atom
# Energy of formation ... -2.34 eV/f.u.
# Crystal system ... cubic

# TiTe2ICl | the Alexandria database | PBE | relaxed
data_TiTe2ICl
_chemical_formula_sum 'Ti1 Te2 I1 Cl1'
_cell_length_a 5.997
_cell_length_b 5.997
_cell_length_c 4.387
_cell_angle_alpha 90.00
_cell_angle_beta 90.00
_cell_angle_gamma 90.00
_symmetry_space_group_name_H-M 'P 4/m m m'
_symmetry_Int_Tables_number 123
_symmetry_space_group_name_Hall '-P 4 2'
loop_
_atom_site_label
_atom_site_type_symbol
_atom_site_fract_x
_atom_site_fract_y
_atom_site_fract_z
_atom_site_occupancy
Ti1 Ti 0.000 0.000 0.000 1
Te1 Te 0.000 0.500 0.500 1
I1 I 0.500 0.500 0.000 1
Cl1 Cl 0.000 0.000 0.500 1
# ΔE_f (raw) ... 275 kJ/mol of formula units
# Relative energy among the computed polymorphs ... 0.734 eV/atom
# Crystal system ... tetragonal

# Hg3SbF | the Alexandria database | PBE | relaxed
data_Hg3SbF
_chemical_formula_sum 'Hg3 Sb1 F1'
_cell_length_a 5.005
_cell_length_b 5.005
_cell_length_c 5.005
_cell_angle_alpha 90.00
_cell_angle_beta 90.00
_cell_angle_gamma 90.00
_symmetry_space_group_name_H-M 'P m -3 m'
_symmetry_Int_Tables_number 221
_symmetry_space_group_name_Hall '-P 4 2 3'
loop_
_atom_site_label
_atom_site_type_symbol
_atom_site_fract_x
_atom_site_fract_y
_atom_site_fract_z
_atom_site_occupancy
Hg1 Hg 0.000 0.000 0.500 1
Sb1 Sb 0.500 0.500 0.500 1
F1 F 0.000 0.000 0.000 1
# ΔE_f (raw) ... -35 kJ/mol of formula units
# Relative energy among the computed polymorphs ... 0.119 eV/atom
# Crystal system ... cubic

# Sm3ThN4 | the Alexandria database | PBE | relaxed
data_Sm3ThN4
_chemical_formula_sum 'Sm6 Th2 N8'
_cell_length_a 7.214
_cell_length_b 10.185
_cell_length_c 3.616
_cell_angle_alpha 90.00
_cell_angle_beta 90.00
_cell_angle_gamma 90.00
_symmetry_space_group_name_H-M 'C m m m'
_symmetry_Int_Tables_number 65
_symmetry_space_group_name_Hall '-C 2 2'
loop_
_atom_site_label
_atom_site_type_symbol
_atom_site_fract_x
_atom_site_fract_y
_atom_site_fract_z
_atom_site_occupancy
Sm1 Sm 0.000 0.000 0.000 1
Sm2 Sm 0.250 0.250 0.500 1
Th1 Th 0.000 0.500 0.000 1
N1 N 0.000 0.254 0.000 1
N2 N 0.244 0.500 0.500 1
# ΔE_f (raw) ... -1194 kJ/mol of formula units
# Relative energy among the computed polymorphs ... 0.000 eV/atom
# Crystal system ... orthorhombic

# Cs4K3Na5 | the Alexandria database | PBE | relaxed
data_Cs4K3Na5
_chemical_formula_sum 'Cs8 K6 Na10'
_cell_length_a 16.937
_cell_length_b 7.011
_cell_length_c 16.786
_cell_angle_alpha 90.00
_cell_angle_beta 118.75
_cell_angle_gamma 90.00
_symmetry_space_group_name_H-M 'C 1 2/m 1'
_symmetry_Int_Tables_number 12
_symmetry_space_group_name_Hall '-C 2y'
loop_
_atom_site_label
_atom_site_type_symbol
_atom_site_fract_x
_atom_site_fract_y
_atom_site_fract_z
_atom_site_occupancy
Cs1 Cs 0.145 0.000 0.001 1
Cs2 Cs 0.146 0.000 0.344 1
K1 K 0.000 0.500 0.500 1
K2 K 0.198 0.000 0.741 1
Na1 Na 0.000 0.000 0.500 1
Na2 Na 0.038 0.500 0.117 1
Na3 Na 0.077 0.500 0.761 1
# Energy of formation ... 0.63 eV/f.u.
# Crystal system ... monoclinic